[1]
VASP calculation (PBE) on a geometry-optimized Tl2TcAs structure.

```
data_Tl2TcAs
_cell_length_a 7.117
_cell_length_b 7.117
_cell_length_c 7.117
_cell_angle_alpha 90.00
_cell_angle_beta 90.00
_cell_angle_gamma 90.00
_space_group_name_H-M_alt 'F -4 3 m'
_space_group_IT_number 216
_space_group_name_Hall 'F -4 2 3'
loop_
_atom_site_label
_atom_site_fract_x
_atom_site_fract_y
_atom_site_fract_z
Tl1 0.000 0.000 0.000
Tl2 0.250 0.250 0.250
Tc1 0.000 0.000 0.500
As1 0.250 0.250 0.750
```

* total magnetization: 11.4 Bohr magnetons per cell
* Fermi-level density of states: 4.39 states/eV/f.u.
* electronic total energy: -4.14 eV/atom

***

[2]
VASP calculation (PBE) on a geometry-optimized TbPaTe2C structure.

```
data_TbPaTe2C
_cell_length_a 4.147
_cell_length_b 4.147
_cell_length_c 15.870
_cell_angle_alpha 90.00
_cell_angle_beta 90.00
_cell_angle_gamma 90.00
_space_group_name_H-M_alt 'P 4/n m m'
_space_group_IT_number 129
loop_
_space_group_symop_operation_xyz
'x,y,z'
'-x,-y,-z'
'-y+1/2,x,z'
'y+1/2,-x,-z'
'-x+1/2,-y+1/2,z'
'x+1/2,y+1/2,-z'
'y,-x+1/2,z'
'-y,x+1/2,-z'
'x+1/2,-y,-z'
'-x+1/2,y,z'
'-y,-x,-z'
'y,x,z'
'-x,y+1/2,-z'
'x,-y+1/2,z'
'y+1/2,x+1/2,-z'
'-y+1/2,-x+1/2,z'
loop_
_atom_site_label
_atom_site_fract_x
_atom_site_fract_y
_atom_site_fract_z
Tb1 0.250 0.250 0.134
Pa1 0.250 0.250 0.569
Te1 0.250 0.250 0.318
Te2 0.250 0.250 0.917
C1 0.250 0.750 0.500
```

* total magnetization: 0.0 Bohr magnetons per cell
* Fermi-level density of states: 1.79 states/eV/f.u.
* E_form (uncorrected): -0.939 eV per atom
* electronic total energy: -6.87 eV/atom

***

[3]
VASP calculation (PBE) on a geometry-optimized Ho4TlIn structure.

```
data_Ho4TlIn
_cell_length_a 3.674
_cell_length_b 5.684
_cell_length_c 8.767
_cell_angle_alpha 90.00
_cell_angle_beta 90.00
_cell_angle_gamma 90.00
_space_group_name_H-M_alt 'P m m m'
_space_group_IT_number 47
loop_
_space_group_symop_operation_xyz
'x,y,z'
'-x,-y,-z'
'-x,-y,z'
'x,y,-z'
'x,-y,-z'
'-x,y,z'
'-x,y,-z'
'x,-y,z'
loop_
_atom_site_label
_atom_site_fract_x
_atom_site_fract_y
_atom_site_fract_z
Ho1 0.000 0.000 0.202
Ho2 0.500 0.500 0.295
Tl1 0.500 0.000 0.500
In1 0.000 0.500 0.000
```

* total magnetization: 0.0 Bohr magnetons per cell
* Fermi-level density of states: 7.34 states/eV/f.u.
* electronic total energy: -3.95 eV/atom

***

[4]
VASP calculation (PBE) on a geometry-optimized HfHRu2 structure.

```
data_HfHRu2
_cell_length_a 6.073
_cell_length_b 6.073
_cell_length_c 6.073
_cell_angle_alpha 90.00
_cell_angle_beta 90.00
_cell_angle_gamma 90.00
_space_group_name_H-M_alt 'F m -3 m'
_space_group_IT_number 225
_space_group_name_Hall '-F 4 2 3'
loop_
_atom_site_label
_atom_site_fract_x
_atom_site_fract_y
_atom_site_fract_z
Hf1 0.000 0.000 0.000
H1 0.000 0.000 0.500
Ru1 0.250 0.250 0.250
```

* total magnetization: 0.0 Bohr magnetons per cell
* Fermi-level density of states: 5.07 states/eV/f.u.
* electronic total energy: -7.49 eV/atom

***

[5]
VASP calculation (PBE) on a geometry-optimized BeIn2Cu structure.

```
data_BeIn2Cu
_cell_length_a 3.005
_cell_length_b 3.876
_cell_length_c 6.007
_cell_angle_alpha 90.00
_cell_angle_beta 90.00
_cell_angle_gamma 90.00
_space_group_name_H-M_alt 'P m m m'
_space_group_IT_number 47
loop_
_space_group_symop_operation_xyz
'x,y,z'
'-x,-y,-z'
'-x,-y,z'
'x,y,-z'
'x,-y,-z'
'-x,y,z'
'-x,y,-z'
'x,-y,z'
loop_
_atom_site_label
_atom_site_fract_x
_atom_site_fract_y
_atom_site_fract_z
Be1 0.000 0.000 0.000
In1 0.500 0.500 0.247
Cu1 0.000 0.000 0.500
```

* total magnetization: 0.0 Bohr magnetons per cell
* Fermi-level density of states: 1.15 states/eV/f.u.
* electronic total energy: -2.94 eV/atom

***

[6]
VASP calculation (PBE) on a geometry-optimized GaNi6Rh structure.

```
data_GaNi6Rh
_cell_length_a 8.061
_cell_length_b 3.606
_cell_length_c 7.172
_cell_angle_alpha 90.00
_cell_angle_beta 116.52
_cell_angle_gamma 90.00
_space_group_name_H-M_alt 'C 1 2/m 1'
_space_group_IT_number 12
loop_
_space_group_symop_operation_xyz
'x,y,z'
'-x,-y,-z'
'-x,y,-z'
'x,-y,z'
'x+1/2,y+1/2,z'
'-x+1/2,-y+1/2,-z'
'-x+1/2,y+1/2,-z'
'x+1/2,-y+1/2,z'
loop_
_atom_site_label
_atom_site_fract_x
_atom_site_fract_y
_atom_site_fract_z
Ga1 0.000 0.000 0.000
Ni1 0.000 0.500 0.249
Ni2 0.248 0.000 0.372
Ni3 0.249 0.500 0.123
Rh1 0.000 0.000 0.500
```

* total magnetization: 5.4 Bohr magnetons per cell
* Fermi-level density of states: 13.27 states/eV/f.u.
* electronic total energy: -5.75 eV/atom

***

[7]
VASP calculation (PBE) on a geometry-optimized GeIOF2 structure.

```
data_GeIOF2
_cell_length_a 4.038
_cell_length_b 4.038
_cell_length_c 4.764
_cell_angle_alpha 90.00
_cell_angle_beta 90.00
_cell_angle_gamma 90.00
_space_group_name_H-M_alt 'P 4/m m m'
_space_group_IT_number 123
_space_group_name_Hall '-P 4 2'
loop_
_atom_site_label
_atom_site_fract_x
_atom_site_fract_y
_atom_site_fract_z
Ge1 0.000 0.000 0.000
I1 0.500 0.500 0.500
O1 0.000 0.000 0.500
F1 0.000 0.500 0.000
```

* total magnetization: 0.0 Bohr magnetons per cell
* Fermi-level density of states: 2.67 states/eV/f.u.
* E_form (uncorrected): -0.818 eV per atom
* electronic total energy: -3.79 eV/atom

***

[8]
VASP calculation (PBE) on a geometry-optimized Re2SbPb structure.

```
data_Re2SbPb
_cell_length_a 3.1369
_cell_length_b 3.1369
_cell_length_c 26.6899
_cell_angle_alpha 90.00
_cell_angle_beta 90.00
_cell_angle_gamma 120.00
_space_group_name_H-M_alt 'R -3 m'
_space_group_IT_number 166
_space_group_name_Hall '-R 3 2"'
loop_
_atom_site_label
_atom_site_fract_x
_atom_site_fract_y
_atom_site_fract_z
Re1 0.0000 0.0000 0.2438
Sb1 0.0000 0.0000 0.5000
Pb1 0.0000 0.0000 0.0000
```

* total magnetization: 0.0 Bohr magnetons per cell
* Fermi-level density of states: 4.52 states/eV/f.u.
* E_form (uncorrected): 0.964 eV per atom
* electronic total energy: -7.22 eV/atom

***

Which value of Fermi-level density of states does entry 1 give?
4.39 states/eV/f.u.

***

Among the records above, which one has the highest Fermi-level density of states?
GaNi6Rh

***

Copy entry 3 word for word.
VASP calculation (PBE) on a geometry-optimized Ho4TlIn structure.

```
data_Ho4TlIn
_cell_length_a 3.674
_cell_length_b 5.684
_cell_length_c 8.767
_cell_angle_alpha 90.00
_cell_angle_beta 90.00
_cell_angle_gamma 90.00
_space_group_name_H-M_alt 'P m m m'
_space_group_IT_number 47
loop_
_space_group_symop_operation_xyz
'x,y,z'
'-x,-y,-z'
'-x,-y,z'
'x,y,-z'
'x,-y,-z'
'-x,y,z'
'-x,y,-z'
'x,-y,z'
loop_
_atom_site_label
_atom_site_fract_x
_atom_site_fract_y
_atom_site_fract_z
Ho1 0.000 0.000 0.202
Ho2 0.500 0.500 0.295
Tl1 0.500 0.000 0.500
In1 0.000 0.500 0.000
```

* total magnetization: 0.0 Bohr magnetons per cell
* Fermi-level density of states: 7.34 states/eV/f.u.
* electronic total energy: -3.95 eV/atom

***

What is the formula in the eighth record?
Re2SbPb